Na2CuAsF6 | GGA-PBE | relaxed

Cell: 8.4141 8.4141 8.4141 Å, 90.00 90.00 90.00°
With the nearest neighbours (Å) after each atom.
Space group Fm-3m (No. 225)
Unique sites:
Na 0.2500 0.2500 0.2500  12 F 2.98
Cu 0.0000 0.0000 0.0000  6 F 2.14
As 0.0000 0.0000 0.5000  6 F 2.07
F 0.0000 0.0000 0.2541  1 As 2.07, 1 Cu 2.14

Output
Formation energy without anion corrections   -1.996 eV/atom
ρ   3.328 g/cm³
VASP energy   -4.257 eV per atom